No. 1
This record from Alexandria via LeMat-Bulk describes a relaxed structure of ZrH2O. The functional is PBE.

Lattice parameters (Å, degrees): 3.162 3.162 7.818 78.33 78.33 90.00
Sites, in units of the cell vectors:
Zr: 0.750 0.250 0.500
H: 0.875 0.122 0.750
H: 0.375 0.128 0.750
H: 0.878 0.625 0.250
O: 0.250 0.750 0.500
O: 0.500 0.500 0.000
H: 0.872 0.125 0.250
Zr: 0.000 0.000 0.000

VASP energy (eV per atom): -6.02
Offset from the most stable computed form (kJ/mol of formula units): 0.0

No. 2
This record from Alexandria via LeMat-Bulk describes a relaxed structure of Zr3H2O. The functional is PBE.

Lattice parameters (Å, degrees): 7.703 7.703 7.703 156.29 156.29 33.78
Sites, in units of the cell vectors:
H: 0.687 0.687 0.000
Zr: 0.836 0.836 0.000
O: 0.000 0.000 0.000
H: 0.313 0.313 0.000
Zr: 0.164 0.164 0.000
Zr: 0.500 0.500 0.000

VASP energy (eV per atom): -7.31

No. 3
This record from Alexandria via LeMat-Bulk describes a relaxed structure of Zr6HO. The functional is PBE.

Lattice parameters (Å, degrees): 5.656 5.656 10.502 90.00 90.00 120.00
Sites, in units of the cell vectors:
Zr: 0.340 0.005 0.622
Zr: 0.340 0.335 0.878
Zr: 0.005 0.340 0.122
Zr: 0.665 0.660 0.622
H: 0.000 0.000 0.500
Zr: 0.660 0.665 0.122
Zr: 0.995 0.660 0.878
Zr: 0.005 0.665 0.378
Zr: 0.335 0.995 0.122
H: 0.000 0.000 0.000
Zr: 0.665 0.005 0.878
Zr: 0.660 0.995 0.378
Zr: 0.335 0.340 0.378
Zr: 0.995 0.335 0.622
O: 0.667 0.333 0.750
O: 0.333 0.667 0.250

VASP energy (eV per atom): -8.20
Offset from the most stable computed form (kJ/mol of formula units): 1.7

No. 4
This record from Alexandria via LeMat-Bulk describes a relaxed structure of Zr4HO2. The functional is PBE.

Lattice parameters (Å, degrees): 6.158 6.158 6.614 104.75 104.75 116.94
Sites, in units of the cell vectors:
O: 0.503 0.251 0.502
H: 0.248 0.497 0.497
O: 0.752 0.000 0.000
Zr: 0.716 0.704 0.165
Zr: 0.203 0.211 0.665
H: 0.497 0.248 0.997
O: 0.251 0.503 0.002
Zr: 0.302 0.790 0.337
Zr: 0.797 0.288 0.336
Zr: 0.211 0.203 0.165
Zr: 0.704 0.716 0.665
O: 0.000 0.752 0.500
Zr: 0.288 0.797 0.836
Zr: 0.790 0.302 0.837

VASP energy (eV per atom): -8.36

No. 5
This record from Alexandria via LeMat-Bulk describes a relaxed structure of Zr4HO. The functional is PBE.

Lattice parameters (Å, degrees): 5.503 5.230 7.886 108.30 109.40 92.88
Sites, in units of the cell vectors:
Zr: 0.270 0.561 0.142
Zr: 0.122 0.299 0.618
H: 0.403 0.153 0.806
Zr: 0.873 0.081 0.142
H: 0.597 0.847 0.194
Zr: 0.878 0.701 0.382
O: 0.189 0.439 0.379
Zr: 0.496 0.819 0.618
Zr: 0.504 0.181 0.382
Zr: 0.127 0.919 0.858
Zr: 0.730 0.439 0.858
O: 0.811 0.561 0.621

VASP energy (eV per atom): -8.07
Offset from the most stable computed form (kJ/mol of formula units): 29.3

No. 6
This record from Alexandria via LeMat-Bulk describes a relaxed structure of Zr4H2O. The functional is PBE.

Lattice parameters (Å, degrees): 3.277 5.808 5.632 97.27 106.91 90.00
Sites, in units of the cell vectors:
H: 0.311 0.441 0.622
Zr: 0.883 0.641 0.766
Zr: 0.624 0.879 0.247
O: 0.000 0.000 0.000
H: 0.689 0.559 0.378
Zr: 0.117 0.359 0.234
Zr: 0.376 0.121 0.753

VASP energy (eV per atom): -7.52

No. 7
This record from Alexandria via LeMat-Bulk describes a relaxed structure of Zr6HO. The functional is PBE.

Lattice parameters (Å, degrees): 5.655 5.648 6.179 62.89 62.86 60.15
Sites, in units of the cell vectors:
H: 0.500 0.500 0.500
Zr: 0.240 0.920 0.255
Zr: 0.414 0.758 0.746
Zr: 0.917 0.587 0.256
O: 0.000 0.000 0.000
Zr: 0.760 0.080 0.745
Zr: 0.083 0.413 0.744
Zr: 0.586 0.242 0.254

VASP energy (eV per atom): -8.20
Offset from the most stable computed form (kJ/mol of formula units): 0.0

No. 8
This record from Alexandria via LeMat-Bulk describes a relaxed structure of ZrH3O. The functional is PBE.

Lattice parameters (Å, degrees): 3.370 3.370 3.370 90.00 90.00 90.00
Sites, in units of the cell vectors:
O: 0.000 0.000 0.000
H: 0.000 0.500 0.000
H: 0.000 0.000 0.500
Zr: 0.500 0.500 0.500
H: 0.500 0.000 0.000

VASP energy (eV per atom): -4.29
Offset from the most stable computed form (kJ/mol of formula units): 77.8